No. 1
Density functional theory data (PBE) for a geometry-optimized SnBi3Pb12 structure.

Output
Spin magnetization, Bohr magnetons per cell: 0.0
ΔH_f (0 K), meV per atom: 16

Cell lengths 5.107, 5.107, 19.307 Å; angles 90.00, 90.00, 90.00 degrees
Space group P4/mmm (No. 123)
Unique sites:
Sn: 0.000 0.000 0.000 x1
Bi: 0.000 0.000 0.249 x2
Bi: 0.000 0.000 0.500 x1
Pb: 0.000 0.500 0.122 x4
Pb: 0.000 0.500 0.374 x4
Pb: 0.500 0.500 0.000 x1
Pb: 0.500 0.500 0.248 x2
Pb: 0.500 0.500 0.500 x1

=====

No. 2
Density functional theory data (PBE) for a geometry-optimized SnBiPb2 structure.

Output
Spin magnetization, Bohr magnetons per cell: 0.0
ΔH_f (0 K), meV per atom: 76
Polymorph energy (0 for the lowest one), meV/atom: 35

Cell lengths 3.883, 3.883, 8.115 Å; angles 90.00, 90.00, 90.00 degrees
Space group P4/mmm (No. 123)
Unique sites:
Sn: 0.000 0.000 0.000 x1
Bi: 0.000 0.000 0.500 x1
Pb: 0.500 0.500 0.246 x2

=====

Q: Number 2 is which compound?
A: SnBiPb2